Entry 1:
DFT (GGA-PBE) results for a relaxed Sc2TaCdH crystal.

a = 4.460 Å, b = 4.460 Å, c = 4.228 Å
α = 90.00°, β = 90.00°, γ = 90.00°
Fractional positions:
Sc 0.000 0.500 0.000
Sc 0.500 0.000 0.000
Cd 0.500 0.500 0.500
Ta 0.000 0.000 0.500
H 0.000 0.000 0.000

Computed properties:
**Size of the total moment**: 0.00 μB/f.u.
**Symmetry**: P4/mmm (123)
**Electronic total energy**: -29.21 eV for the cell shown
**DOS(E_F)**: 4.42 states/eV/f.u.

***

Entry 2:
DFT (GGA-PBE) results for a relaxed ScTi2CdH crystal.

a = 4.210 Å, b = 4.210 Å, c = 4.391 Å
α = 90.00°, β = 90.00°, γ = 90.00°
Fractional positions:
Cd 0.500 0.500 0.500
Ti 0.500 0.000 0.000
Ti 0.000 0.500 0.000
Sc 0.000 0.000 0.500
H 0.000 0.000 0.000

Computed properties:
**Size of the total moment**: 0.00 μB/f.u.
**Symmetry**: P4/mmm (123)
**Electronic total energy**: -27.16 eV for the cell shown
**DOS(E_F)**: 5.42 states/eV/f.u.

***

Entry 3:
DFT (GGA-PBE) results for a relaxed Sc2TlCdH crystal.

a = 4.418 Å, b = 4.418 Å, c = 4.757 Å
α = 90.00°, β = 90.00°, γ = 90.00°
Each line ends with the local moment (μB).
Fractional positions:
Sc 0.500 0.000 0.000  0.42
Sc 0.000 0.500 0.000  0.42
H 0.000 0.000 0.000  -0.01
Cd 0.500 0.500 0.500  0.00
Tl 0.000 0.000 0.500  0.01

Computed properties:
**Size of the total moment**: 1.23 μB/f.u.
**Symmetry**: P4/mmm (123)
**Electronic total energy**: -20.11 eV for the cell shown
**Energy above the lowest structure with this stoichiometry**: 82 meV per atom
**DOS(E_F)**: 3.30 states/eV/f.u.

***

Entry 4:
DFT (GGA-PBE) results for a relaxed Sc2TlCdH crystal.

a = 4.480 Å, b = 4.480 Å, c = 4.516 Å
α = 90.00°, β = 90.00°, γ = 90.00°
Each line ends with the local moment (μB).
Fractional positions:
Sc 0.000 0.500 0.000  0.42
Sc 0.500 0.000 0.000  0.42
Cd 0.000 0.000 0.500  0.01
Tl 0.500 0.500 0.500  -0.01
H 0.000 0.000 0.000  -0.01

Computed properties:
**Size of the total moment**: 1.18 μB/f.u.
**Symmetry**: P4/mmm (123)
**Electronic total energy**: -20.52 eV for the cell shown
**Energy above the lowest structure with this stoichiometry**: 0 meV per atom
**DOS(E_F)**: 2.29 states/eV/f.u.